# 1
# GGA-PBE SrTa2Bi2O9, relaxed
data_SrTa2Bi2O9
_chemical_formula_sum 'Sr4 Ta8 Bi8 O36'
_symmetry_space_group_name_H-M 'C m c 21'
_symmetry_Int_Tables_number 36
_cell_length_a 24.7764
_cell_length_b 5.5628
_cell_length_c 5.5385
_cell_angle_alpha 90.00
_cell_angle_beta 90.00
_cell_angle_gamma 90.00
loop_
_symmetry_equiv_pos_as_xyz
'x,y,z'
'-x,-y,z+1/2'
'-x,y,z'
'x,-y,z+1/2'
'x+1/2,y+1/2,z'
'-x+1/2,-y+1/2,z+1/2'
'-x+1/2,y+1/2,z'
'x+1/2,-y+1/2,z+1/2'
loop_
_atom_site_label
_atom_site_type_symbol
_atom_site_fract_x
_atom_site_fract_y
_atom_site_fract_z
_atom_site_occupancy
Sr1 Sr 0.0000 0.2487 0.0000 1
Ta1 Ta 0.0851 0.2521 0.4931 1
Bi1 Bi 0.1997 0.2810 0.0359 1
O1 O 0.0000 0.2016 0.4824 1
O2 O 0.0683 0.4866 0.7496 1
O3 O 0.0868 0.0184 0.2190 1
O4 O 0.1597 0.3196 0.4813 1
O5 O 0.2477 0.0074 0.2692 1
# Energy above the lowest structure with this stoichiometry ... 0.003 eV per atom



# 2
The following is a GGA-PBE calculation of a geometry-optimized La2Sm2Se3O4 structure, from the Open Quantum Materials Database.

```
data_La2Sm2Se3O4
_chemical_formula_sum 'La4 Sm4 Se6 O8'
_symmetry_space_group_name_H-M 'A m m 2'
_symmetry_Int_Tables_number 38
_cell_length_a 8.4587
_cell_length_b 4.0142
_cell_length_c 12.9039
_cell_angle_alpha 90.00
_cell_angle_beta 90.00
_cell_angle_gamma 90.00
loop_
_symmetry_equiv_pos_as_xyz
'x,y,z'
'-x,-y,z'
'-x,y,z'
'x,-y,z'
'x,y+1/2,z+1/2'
'-x,-y+1/2,z+1/2'
'-x,y+1/2,z+1/2'
'x,-y+1/2,z+1/2'
loop_
_atom_site_label
_atom_site_type_symbol
_atom_site_fract_x
_atom_site_fract_y
_atom_site_fract_z
_atom_site_occupancy
La1 La 0.2382 0.0000 0.0000 1
Sm1 Sm 0.0000 0.0000 0.3168 1
Sm2 Sm 0.5000 0.0000 0.3321 1
Se1 Se 0.0000 0.0000 0.6328 1
Se2 Se 0.3518 0.0000 0.6765 1
O1 O 0.0000 0.0000 0.9020 1
O2 O 0.2441 0.0000 0.4010 1
O3 O 0.5000 0.0000 0.9284 1
```



# 3
The following is a GGA-PBE calculation of a geometry-optimized BaNdCuTeS2 structure, from the Open Quantum Materials Database.

```
data_BaNdCuTeS2
_chemical_formula_sum 'Ba4 Nd4 Cu4 Te4 S8'
_symmetry_space_group_name_H-M 'C m c m'
_symmetry_Int_Tables_number 63
_symmetry_space_group_name_Hall '-C 2c 2'
_cell_length_a 4.1709
_cell_length_b 14.7749
_cell_length_c 11.2375
_cell_angle_alpha 90.00
_cell_angle_beta 90.00
_cell_angle_gamma 90.00
loop_
_atom_site_label
_atom_site_type_symbol
_atom_site_fract_x
_atom_site_fract_y
_atom_site_fract_z
_atom_site_occupancy
Ba1 Ba 0.0000 0.2181 0.2500 1
Nd1 Nd 0.0000 0.0000 0.0000 1
Cu1 Cu 0.0000 0.4787 0.7500 1
Te1 Te 0.0000 0.0936 0.7500 1
S1 S 0.0000 0.3837 0.5826 1
```



Values of spin magnetization, in order: 0.0, 0.0, 0.0, all in μB per formula unit.
Values of uncorrected energy, in order: -7.961, -7.333, -5.139, all in eV/atom.